(1)
# TbPd7Au2

An optimized crystal structure of TbPd7Au2 (PBE, Alexandria).

Output
Its energy of formation from the pure elements is 9 kJ/mol of atoms. As for the space group: Cmmm. The magnetic moment is 0.000 Bohr magnetons per cell. For the theoretical density, the calculation gives 9852 kg/m³.

Lattice parameters (Å, degrees): 4.5030 7.6198 7.6199 123.22 90.00 90.00
Element x y z (fractional)
Pd 0.0000 0.1977 0.8023
Pd 0.5000 0.7124 0.9255
Pd 0.5000 0.2876 0.0745
Pd 0.0000 0.8023 0.1977
Pd 0.5000 0.0745 0.2876
Pd 0.5000 0.9255 0.7124
Pd 0.5000 0.5000 0.5000
Tb 0.0000 0.0000 0.0000
Au 0.5000 0.2990 0.7010
Au 0.5000 0.7010 0.2990

***

(2)
# TaFe2Ag

An optimized crystal structure of TaFe2Ag (PBE, Alexandria).

Output
Its energy of formation from the pure elements is 25 kJ/mol of atoms. As for the space group: I-4m2. The value obtained for the energy above the most stable polymorph in this dataset is 0.26 eV/f.u. The magnetic moment is 3.127 Bohr magnetons per cell. For the theoretical density, the calculation gives 11572 kg/m³.

Lattice parameters (Å, degrees): 4.8582 4.8582 4.8582 134.48 134.48 66.35
Each line ends with the local moment (μB).
Element x y z (fractional)
Ta 0.5000 0.5000 0.0000  -0.51
Fe 0.0000 0.0000 0.0000  1.90
Fe 0.2500 0.7500 0.5000  1.98
Ag 0.7500 0.2500 0.5000  -0.04

***

(3)
# ScTeCl2

An optimized crystal structure of ScTeCl2 (PBE, Alexandria).

Output
As for the space group: I-4m2. The value obtained for the energy above the most stable polymorph in this dataset is 3.23 eV/f.u. The magnetic moment is 0.000 Bohr magnetons per cell. For the theoretical density, the calculation gives 4487 kg/m³. Its uncorrected formation energy is -0.702 eV/atom.

Lattice parameters (Å, degrees): 5.4913 5.4911 5.4911 131.82 131.82 70.51
Element x y z (fractional)
Cl 0.0000 0.0000 0.0000
Cl 0.2500 0.7500 0.5000
Sc 0.5000 0.5000 0.0000
Te 0.7500 0.2500 0.5000

***

(4)
# KCaY

An optimized crystal structure of KCaY (PBE, Alexandria).

Output
Its energy of formation from the pure elements is 26 kJ/mol of atoms. As for the space group: P3m1. The value obtained for the energy above the most stable polymorph in this dataset is 0.00 eV/f.u. The magnetic moment is 1.090 Bohr magnetons per cell. For the theoretical density, the calculation gives 2149 kg/m³.

Lattice parameters (Å, degrees): 3.8168 3.8168 10.2928 90.00 90.00 120.00
Each line ends with the local moment (μB).
Element x y z (fractional)
Y 0.3333 0.6667 0.6878  0.33
Ca 0.0000 0.0000 0.9723  0.07
K 0.6667 0.3333 0.3399  0.01

***

(5)
# MnRu5

An optimized crystal structure of MnRu5 (PBE, Alexandria).

Output
Its energy of formation from the pure elements is 1 kJ/mol of atoms. As for the space group: Cm. The magnetic moment is 0.107 Bohr magnetons per cell. For the theoretical density, the calculation gives 11548 kg/m³.

Lattice parameters (Å, degrees): 2.7003 5.0436 6.3191 76.82 90.00 105.53
Each line ends with the local moment (μB).
Element x y z (fractional)
Ru 0.3915 0.7831 0.7287  -0.02
Ru 0.3353 0.6707 0.3278  -0.02
Ru 0.7195 0.4389 0.0531  -0.02
Ru 0.6656 0.3312 0.6703  -0.02
Ru 0.0555 0.1109 0.3850  -0.01
Mn 0.9993 0.9986 0.0018  0.19

***

(6)
# Sm2UGa

An optimized crystal structure of Sm2UGa (PBE, Alexandria).

Output
Its energy of formation from the pure elements is 29 kJ/mol of atoms. As for the space group: R-3m. The magnetic moment is 1.916 Bohr magnetons per cell. For the theoretical density, the calculation gives 9604 kg/m³.

Lattice parameters (Å, degrees): 3.2565 3.2565 11.6091 81.94 81.94 60.00
Each line ends with the local moment (μB).
Element x y z (fractional)
Sm 0.9048 0.9048 0.2856  -0.06
Sm 0.0952 0.0952 0.7144  -0.06
Ga 0.5000 0.5000 0.5000  0.00
U 0.0000 0.0000 0.0000  1.96

***

(7)
# K4Hg3F10

An optimized crystal structure of K4Hg3F10 (PBE, Alexandria).

Output
As for the space group: I4/mmm. The magnetic moment is 0.000 Bohr magnetons per cell. For the theoretical density, the calculation gives 4687 kg/m³. Its uncorrected formation energy is -2.050 eV/atom.

Lattice parameters (Å, degrees): 4.6259 4.6259 16.0349 98.29 98.29 90.00
Element x y z (fractional)
F 0.8574 0.3574 0.7148
F 0.2178 0.2178 0.4356
F 0.7822 0.7822 0.5644
F 0.1426 0.6426 0.2852
F 0.0000 0.5000 0.0000
F 0.0728 0.0728 0.1455
F 0.3574 0.8574 0.7148
F 0.6426 0.1426 0.2852
F 0.9272 0.9272 0.8545
F 0.5000 0.0000 0.0000
Hg 0.0000 0.0000 0.0000
Hg 0.1461 0.1461 0.2921
Hg 0.8539 0.8539 0.7079
K 0.7013 0.7013 0.4027
K 0.4297 0.4297 0.8593
K 0.5703 0.5703 0.1407
K 0.2987 0.2987 0.5973

***

(8)
# Li2FePd9

An optimized crystal structure of Li2FePd9 (PBE, Alexandria).

Output
Its energy of formation from the pure elements is -19 kJ/mol of atoms. As for the space group: P4/mmm. The magnetic moment is 4.817 Bohr magnetons per cell. For the theoretical density, the calculation gives 9647 kg/m³.

Lattice parameters (Å, degrees): 3.8986 3.8986 11.6371 90.00 90.00 90.00
Each line ends with the local moment (μB).
Element x y z (fractional)
Fe 0.0000 0.0000 0.0000  3.27
Pd 0.5000 0.5000 0.6671  0.12
Pd 0.5000 0.5000 0.0000  0.27
Pd 0.5000 0.0000 0.1644  0.23
Pd 0.5000 0.0000 0.5000  0.11
Pd 0.0000 0.5000 0.8356  0.23
Pd 0.0000 0.5000 0.1644  0.23
Pd 0.5000 0.0000 0.8356  0.23
Pd 0.5000 0.5000 0.3329  0.12
Pd 0.0000 0.5000 0.5000  0.11
Li 0.0000 0.0000 0.6652  0.00
Li 0.0000 0.0000 0.3348  0.00

***

(9)
# Pm4P3Cl

An optimized crystal structure of Pm4P3Cl (PBE, Alexandria).

Output
As for the space group: Cmmm. The magnetic moment is 0.000 Bohr magnetons per cell. For the theoretical density, the calculation gives 5930 kg/m³. Its uncorrected formation energy is -1.632 eV/atom.

Lattice parameters (Å, degrees): 4.1104 7.1480 7.1480 70.81 90.00 90.00
Element x y z (fractional)
P 0.5000 0.0001 0.5000
P 0.0000 0.0001 0.0000
P 0.9999 0.5001 0.5000
Pm 0.0000 0.2315 0.2686
Pm 0.0000 0.7688 0.7313
Pm 0.4999 0.2424 0.7423
Pm 0.5000 0.7578 0.2577
Cl 0.5000 0.5001 0.9999

***

Q: Which of these has the highest theoretical density?
A: TaFe2Ag

***

Q: Among the records above, which one has the highest theoretical density?
A: TaFe2Ag

***

Q: Among the records above, which one has the highest theoretical density?
A: TaFe2Ag